No. 1
DFT (PBE-GGA) results for Nd2Ga7Pd12 after structural relaxation.

Lattice parameters (Å, degrees): 10.1387 10.1387 4.0432 90.00 90.00 120.00
Fractional positions:
Nd (0.0000, 0.0000, 0.0000)
Nd (0.3333, 0.6667, 0.5000)
Ga (0.0516, 0.4548, 0.0000)
Ga (0.2646, 0.2349, 0.5000)
Ga (0.4032, 0.9484, 0.0000)
Ga (0.5452, 0.5968, 0.0000)
Ga (0.6667, 0.3333, 0.0000)
Ga (0.7651, 0.0297, 0.5000)
Ga (0.9703, 0.7354, 0.5000)
Pd (0.0360, 0.2733, 0.5000)
Pd (0.1260, 0.7312, 0.0000)
Pd (0.2373, 0.9640, 0.5000)
Pd (0.2688, 0.3948, 0.0000)
Pd (0.3849, 0.1866, 0.0000)
Pd (0.5517, 0.4269, 0.5000)
Pd (0.5731, 0.1248, 0.5000)
Pd (0.6052, 0.8740, 0.0000)
Pd (0.7267, 0.7627, 0.5000)
Pd (0.8017, 0.6151, 0.0000)
Pd (0.8134, 0.1983, 0.0000)
Pd (0.8752, 0.4483, 0.5000)

Computed properties:
SG = P-6 (174)
calculated total energy = -5.154 eV/atom



No. 2
DFT (PBE-GGA) results for NdGa3Pd2 after structural relaxation.

Lattice parameters (Å, degrees): 6.3621 6.3621 5.6376 90.00 90.00 80.04
Fractional positions:
Nd (0.1608, 0.8392, 0.7500)
Nd (0.8392, 0.1608, 0.2500)
Ga (0.0523, 0.6220, 0.2500)
Ga (0.3780, 0.9477, 0.2500)
Ga (0.4606, 0.5394, 0.2500)
Ga (0.5394, 0.4606, 0.7500)
Ga (0.6220, 0.0523, 0.7500)
Ga (0.9477, 0.3780, 0.7500)
Pd (0.2799, 0.2799, 0.0000)
Pd (0.2799, 0.2799, 0.5000)
Pd (0.7201, 0.7201, 0.0000)
Pd (0.7201, 0.7201, 0.5000)

Computed properties:
SG = Cmcm (63)
calculated total energy = -4.733 eV/atom



No. 3
DFT (PBE-GGA) results for NdGa3Pd2 after structural relaxation.

Lattice parameters (Å, degrees): 8.6048 8.6048 10.0349 103.86 103.86 28.10
Fractional positions:
Nd (0.0000, 0.0000, 0.0000)
Nd (0.1480, 0.1480, 0.6967)
Nd (0.8520, 0.8520, 0.3033)
Ga (0.0534, 0.0534, 0.3641)
Ga (0.2200, 0.2200, 0.3550)
Ga (0.3566, 0.3566, 0.0638)
Ga (0.3588, 0.3588, 0.8118)
Ga (0.5000, 0.5000, 0.5000)
Ga (0.6412, 0.6412, 0.1882)
Ga (0.6434, 0.6434, 0.9362)
Ga (0.7800, 0.7800, 0.6450)
Ga (0.9466, 0.9466, 0.6359)
Pd (0.2092, 0.2092, 0.0817)
Pd (0.3498, 0.3498, 0.5503)
Pd (0.4934, 0.4934, 0.2337)
Pd (0.5066, 0.5066, 0.7663)
Pd (0.6502, 0.6502, 0.4497)
Pd (0.7908, 0.7908, 0.9183)

Computed properties:
SG = C2/m (12)
calculated total energy = -4.758 eV/atom



No. 4
DFT (PBE-GGA) results for Nd3Ga4Pd4 after structural relaxation.

Lattice parameters (Å, degrees): 13.5886 13.5886 13.5886 163.36 161.38 25.07
Fractional positions:
Nd (0.0000, 0.0000, 0.0000)
Nd (0.3551, 0.8551, 0.5000)
Nd (0.6449, 0.1449, 0.5000)
Ga (0.1939, 0.6939, 0.5000)
Ga (0.4516, 0.4516, 0.0000)
Ga (0.5484, 0.5484, 0.0000)
Ga (0.8061, 0.3061, 0.5000)
Pd (0.0975, 0.5975, 0.5000)
Pd (0.2540, 0.2540, 0.0000)
Pd (0.7460, 0.7460, 0.0000)
Pd (0.9025, 0.4025, 0.5000)

Computed properties:
SG = Immm (71)
calculated total energy = -5.091 eV/atom



No. 5
DFT (PBE-GGA) results for NdGaPd2 after structural relaxation.

Lattice parameters (Å, degrees): 7.5565 7.1943 5.7450 90.00 90.00 90.00
Fractional positions:
Nd (0.0326, 0.2500, 0.1461)
Nd (0.4674, 0.7500, 0.6461)
Nd (0.5326, 0.2500, 0.3539)
Nd (0.9674, 0.7500, 0.8539)
Ga (0.1178, 0.7500, 0.3537)
Ga (0.3822, 0.2500, 0.8537)
Ga (0.6178, 0.7500, 0.1463)
Ga (0.8822, 0.2500, 0.6463)
Pd (0.1794, 0.0529, 0.5891)
Pd (0.1794, 0.4471, 0.5891)
Pd (0.3206, 0.5529, 0.0891)
Pd (0.3206, 0.9471, 0.0891)
Pd (0.6794, 0.0529, 0.9109)
Pd (0.6794, 0.4471, 0.9109)
Pd (0.8206, 0.5529, 0.4109)
Pd (0.8206, 0.9471, 0.4109)

Computed properties:
SG = Pnma (62)
calculated total energy = -5.396 eV/atom



No. 6
DFT (PBE-GGA) results for NdGa3Pd5 after structural relaxation.

Lattice parameters (Å, degrees): 6.8524 6.8524 13.0211 90.00 90.00 147.00
Fractional positions:
Nd (0.1303, 0.8697, 0.7500)
Nd (0.8697, 0.1303, 0.2500)
Ga (0.1257, 0.8743, 0.2500)
Ga (0.3802, 0.6198, 0.0401)
Ga (0.3802, 0.6198, 0.4599)
Ga (0.6198, 0.3802, 0.5401)
Ga (0.6198, 0.3802, 0.9599)
Ga (0.8743, 0.1257, 0.7500)
Pd (0.0000, 0.0000, 0.0000)
Pd (0.0000, 0.0000, 0.5000)
Pd (0.1990, 0.8010, 0.0722)
Pd (0.1990, 0.8010, 0.4278)
Pd (0.4548, 0.5452, 0.6465)
Pd (0.4548, 0.5452, 0.8535)
Pd (0.5452, 0.4548, 0.1465)
Pd (0.5452, 0.4548, 0.3535)
Pd (0.8010, 0.1990, 0.5722)
Pd (0.8010, 0.1990, 0.9278)

Computed properties:
SG = Cmcm (63)
calculated total energy = -5.077 eV/atom



No. 7
DFT (PBE-GGA) results for NdGa5Pd7 after structural relaxation.

Lattice parameters (Å, degrees): 6.8712 6.8712 6.8712 134.16 97.20 100.26
Fractional positions:
Nd (0.0000, 0.0000, 0.0000)
Ga (0.0010, 0.4959, 0.0131)
Ga (0.0010, 0.9878, 0.5051)
Ga (0.4827, 0.4959, 0.4949)
Ga (0.4827, 0.9878, 0.9869)
Ga (0.7681, 0.2681, 0.5000)
Pd (0.1925, 0.4833, 0.7091)
Pd (0.2208, 0.7208, 0.5000)
Pd (0.3412, 0.3412, 0.0000)
Pd (0.3464, 0.0045, 0.3418)
Pd (0.6617, 0.6617, 0.0000)
Pd (0.6627, 0.0045, 0.6582)
Pd (0.7742, 0.4833, 0.2909)

Computed properties:
SG = Imm2 (44)
calculated total energy = -4.955 eV/atom



No. 8
DFT (PBE-GGA) results for Nd2Ga3Pd5 after structural relaxation.

Lattice parameters (Å, degrees): 12.8667 12.8667 6.8652 90.00 90.00 160.91
Fractional positions:
Nd (0.0257, 0.9743, 0.5000)
Nd (0.3248, 0.6752, 0.5348)
Nd (0.6752, 0.3248, 0.0348)
Nd (0.9743, 0.0257, 0.0000)
Ga (0.1282, 0.8718, 0.7189)
Ga (0.2818, 0.7182, 0.0861)
Ga (0.4540, 0.5460, 0.6878)
Ga (0.5460, 0.4540, 0.1878)
Ga (0.7182, 0.2818, 0.5861)
Ga (0.8718, 0.1282, 0.2189)
Pd (0.0975, 0.9025, 0.1290)
Pd (0.1962, 0.8038, 0.3648)
Pd (0.2279, 0.7721, 0.7825)
Pd (0.3802, 0.6198, 0.9583)
Pd (0.4408, 0.5592, 0.3139)
Pd (0.5592, 0.4408, 0.8139)
Pd (0.6198, 0.3802, 0.4583)
Pd (0.7721, 0.2279, 0.2825)
Pd (0.8038, 0.1962, 0.8648)
Pd (0.9025, 0.0975, 0.6290)

Computed properties:
SG = Cmc2_1 (36)
polymorph energy (0 for the lowest one) = 0.009 eV/atom